Record 1
## AgBi2Se3 (PBE)

Data for an optimized crystal structure of AgBi2Se3.

Properties
Offset from the most stable computed form = 0 kJ/mol of formula units
Formation energy (no corrections) = -0.21 eV per atom

Lattice parameters (Å, degrees): 4.2986 6.1027 7.1820 115.14 107.41 90.00
Closest atoms and distances in Å follow each position.
Sites, in units of the cell vectors:
Ag  0.5000  0.5000  0.5000  6 Se 2.96-3.05
Bi  0.8308  0.8308  0.1615  6 Se 2.96-3.05
Bi  0.1692  0.1692  0.8385  6 Se 2.96-3.05
Se  0.8347  0.3347  0.1694  2 Ag 2.96, 4 Bi 2.96-3.05
Se  0.1653  0.6653  0.8306  2 Ag 2.96, 4 Bi 2.96-3.05
Se  0.5000  0.0000  0.5000  4 Bi 2.99, 2 Ag 3.05


Record 2
## CuReB2 (PBE)

Data for an optimized crystal structure of CuReB2.

Properties
Offset from the most stable computed form = 0 kJ/mol of formula units
Formation enthalpy at 0 K = 0.61 eV/atom

Lattice parameters (Å, degrees): 3.8061 3.8061 3.8061 60.00 60.00 60.00
Closest atoms and distances in Å follow each position.
Sites, in units of the cell vectors:
Re  0.5000  0.5000  0.5000  8 B 2.33
B  0.2500  0.2500  0.2500  4 Re 2.33, 4 Cu 2.33
B  0.7500  0.7500  0.7500  4 Re 2.33, 4 Cu 2.33
Cu  0.0000  0.0000  0.0000  8 B 2.33


Record 3
## Mg2TlIn (PBE)

Data for an optimized crystal structure of Mg2TlIn.

Properties
Formation enthalpy at 0 K = -0.03 eV/atom

Lattice parameters (Å, degrees): 5.8593 5.8593 5.8593 135.61 135.23 64.88
Closest atoms and distances in Å follow each position.
Sites, in units of the cell vectors:
Tl  0.5005  0.5005  0.0000  8 Mg 3.14-3.33, 4 In 3.31-3.34
Mg  0.9998  0.9998  0.0000  4 Tl 3.14, 4 Mg 3.32-3.33, 4 In 3.32-3.33
Mg  0.2500  0.7500  0.5000  4 In 3.14, 4 Mg 3.32-3.33, 4 Tl 3.32-3.33
In  0.7496  0.2496  0.5000  8 Mg 3.14-3.33, 4 Tl 3.31-3.34


Record 4
## Pu3Np2UAs6 (PBE)

Data for an optimized crystal structure of Pu3Np2UAs6.

Properties
Formation enthalpy at 0 K = -0.83 eV/atom

Lattice parameters (Å, degrees): 4.0926 8.2717 9.2322 103.86 102.81 90.00
Closest atoms and distances in Å follow each position.
Sites, in units of the cell vectors:
Pu  0.5000  0.5000  0.0000  6 As 2.92-2.93
Pu  0.8326  0.1674  0.6653  6 As 2.92
Pu  0.1674  0.8326  0.3347  6 As 2.92
Np  0.8339  0.6677  0.6679  6 As 2.90-2.91
Np  0.1661  0.3323  0.3321  6 As 2.90-2.91
U  0.5000  0.0000  0.0000  6 As 2.88-2.89
As  0.3348  0.9170  0.6696  1 U 2.88, 2 Np 2.90, 3 Pu 2.92
As  0.6674  0.5814  0.3349  3 Np 2.90-2.91, 3 Pu 2.92
As  0.6652  0.0830  0.3304  1 U 2.88, 2 Np 2.90, 3 Pu 2.92
As  0.9997  0.2465  0.9995  2 U 2.89, 1 Np 2.90, 3 Pu 2.92-2.93
As  0.0003  0.7535  0.0005  2 U 2.89, 1 Np 2.90, 3 Pu 2.92-2.93
As  0.3326  0.4186  0.6651  3 Np 2.90-2.91, 3 Pu 2.92


Record 5
## BaP2PdS (PBE)

Data for an optimized crystal structure of BaP2PdS.

Properties
Offset from the most stable computed form = 0 kJ/mol of formula units
Formation energy (no corrections) = -0.29 eV per atom

Lattice parameters (Å, degrees): 4.6920 4.6920 5.3067 90.00 90.00 90.00
Closest atoms and distances in Å follow each position.
Sites, in units of the cell vectors:
P  0.0000  0.5000  0.0000  2 Pd 2.35
P  0.5000  0.0000  0.0000  2 Pd 2.35
S  0.0000  0.0000  0.5000  2 Pd 2.65
Ba  0.5000  0.5000  0.5000  4 S 3.32, 8 P 3.54
Pd  0.0000  0.0000  0.0000  4 P 2.35


Record 6
## CsPrHfSe4 (PBE)

Data for an optimized crystal structure of CsPrHfSe4.

Properties
Formation energy (no corrections) = -1.52 eV per atom

Lattice parameters (Å, degrees): 7.2490 7.3219 10.0485 90.00 108.45 90.00
Closest atoms and distances in Å follow each position.
Sites, in units of the cell vectors:
Cs  0.7330  0.7500  0.9417  4 Se 3.54-3.94
Cs  0.2670  0.2500  0.0583  4 Se 3.54-3.94
Pr  0.7868  0.7500  0.4530  6 Se 3.04-3.09
Pr  0.2132  0.2500  0.5470  6 Se 3.04-3.09
Hf  0.2361  0.7500  0.3370  4 Se 2.47-2.53
Hf  0.7639  0.2500  0.6630  4 Se 2.47-2.53
Se  0.0075  0.5081  0.6978  1 Hf 2.53
Se  0.9925  0.0081  0.3022  1 Hf 2.53
Se  0.9925  0.4919  0.3022  1 Hf 2.53
Se  0.0075  0.9919  0.6978  1 Hf 2.53
Se  0.4437  0.7500  0.1805  1 Hf 2.50
Se  0.5563  0.2500  0.8195  1 Hf 2.50
Se  0.4566  0.7500  0.5814  1 Hf 2.47
Se  0.5434  0.2500  0.4186  1 Hf 2.47


Record 7
## AlSiRu (PBE)

Data for an optimized crystal structure of AlSiRu.

Properties
Formation energy (no corrections) = -0.43 eV per atom

Lattice parameters (Å, degrees): 4.8324 6.6540 6.6540 78.12 74.08 74.08
Closest atoms and distances in Å follow each position.
Sites, in units of the cell vectors:
Al  0.1184  0.6745  0.9244  4 Ru 2.48-2.68, 1 Si 2.75, 2 Al 2.75
Al  0.8814  0.8256  0.5755  4 Ru 2.48-2.68, 1 Si 2.75, 2 Al 2.75
Al  0.8816  0.3255  0.0756  4 Ru 2.48-2.68, 1 Si 2.75, 2 Al 2.75
Al  0.1186  0.1744  0.4245  4 Ru 2.48-2.68, 1 Si 2.75, 2 Al 2.75
Ru  0.1160  0.4345  0.6845  4 Si 2.38-2.48, 3 Al 2.48-2.58
Ru  0.1160  0.9344  0.1845  4 Si 2.38-2.48, 3 Al 2.48-2.58
Ru  0.8840  0.5655  0.3155  4 Si 2.38-2.48, 3 Al 2.48-2.58
Ru  0.8840  0.0656  0.8155  4 Si 2.38-2.48, 3 Al 2.48-2.58
Si  0.6236  0.4110  0.6610  4 Ru 2.38-2.48, 2 Si 2.65
Si  0.6237  0.9109  0.1610  4 Ru 2.38-2.48, 2 Si 2.65
Si  0.3764  0.5890  0.3390  4 Ru 2.38-2.48, 2 Si 2.65
Si  0.3763  0.0891  0.8390  4 Ru 2.38-2.48, 2 Si 2.65


Record 8
## Y2MgScNb (PBE)

Data for an optimized crystal structure of Y2MgScNb.

Properties
Offset from the most stable computed form = 0 kJ/mol of formula units
Formation enthalpy at 0 K = 0.54 eV/atom

Lattice parameters (Å, degrees): 5.4772 5.1542 5.4772 90.00 90.00 90.00
Closest atoms and distances in Å follow each position.
Sites, in units of the cell vectors:
Y  0.0000  0.0000  0.5000  2 Nb 2.74
Y  0.5000  0.0000  0.0000  2 Nb 2.74
Sc  0.0000  0.5000  0.0000  2 Nb 2.58
Nb  0.0000  0.0000  0.0000  2 Sc 2.58, 4 Y 2.74
Mg  0.5000  0.5000  0.5000  8 Y 3.76, 4 Sc 3.87


Record 9
## KBa2Rh (PBE)

Data for an optimized crystal structure of KBa2Rh.

Properties
Offset from the most stable computed form = 202 kJ/mol of formula units
Formation enthalpy at 0 K = 0.41 eV/atom

Lattice parameters (Å, degrees): 5.8121 5.8121 5.8121 60.00 60.00 60.00
Closest atoms and distances in Å follow each position.
Sites, in units of the cell vectors:
Ba  0.0000  0.0000  0.0000  4 Rh 3.56, 4 Ba 3.56
Ba  0.2500  0.2500  0.2500  4 K 3.56, 4 Ba 3.56
K  0.5000  0.5000  0.5000  4 Ba 3.56, 4 Rh 3.56
Rh  0.7500  0.7500  0.7500  4 Ba 3.56, 4 K 3.56


Record 10
## Ti6Ge3Au (PBE)

Data for an optimized crystal structure of Ti6Ge3Au.

Properties
Formation enthalpy at 0 K = -0.51 eV/atom

Lattice parameters (Å, degrees): 7.0478 6.8978 6.8978 89.60 90.00 90.00
Closest atoms and distances in Å follow each position.
Sites, in units of the cell vectors:
Ti  0.1485  0.6766  0.6768  4 Ge 2.57-2.79, 2 Au 2.79
Ti  0.6485  0.6768  0.6766  4 Ge 2.57-2.79, 2 Au 2.79
Ti  0.3987  0.4958  0.9957  3 Ge 2.66-2.69, 1 Au 2.73
Ti  0.8987  0.9957  0.4958  3 Ge 2.66-2.69, 1 Au 2.73
Ti  0.1536  0.1657  0.8343  5 Ge 2.61-2.73, 1 Au 2.65
Ti  0.6436  0.1656  0.8344  5 Ge 2.61-2.73, 1 Au 2.65
Ti  0.1436  0.8344  0.1656  5 Ge 2.61-2.73, 1 Au 2.65
Ti  0.6536  0.8343  0.1657  5 Ge 2.61-2.73, 1 Au 2.65
Ti  0.3987  0.0043  0.5042  3 Ge 2.66-2.69, 1 Au 2.73
Ti  0.8987  0.5042  0.0043  3 Ge 2.66-2.69, 1 Au 2.73
Ti  0.1485  0.3232  0.3234  4 Ge 2.57-2.79, 2 Au 2.79
Ti  0.6485  0.3234  0.3232  4 Ge 2.57-2.79, 2 Au 2.79
Ge  0.3985  0.8657  0.8698  8 Ti 2.57-2.73, 1 Ge 2.59
Ge  0.8985  0.8698  0.8657  8 Ti 2.57-2.73, 1 Ge 2.59
Ge  0.3985  0.3675  0.6325  1 Au 2.60, 8 Ti 2.61-2.79
Ge  0.8985  0.6325  0.3675  1 Au 2.60, 8 Ti 2.61-2.79
Ge  0.8985  0.1343  0.1302  8 Ti 2.57-2.73, 1 Ge 2.59
Ge  0.3985  0.1302  0.1343  8 Ti 2.57-2.73, 1 Ge 2.59
Au  0.8984  0.3655  0.6345  1 Ge 2.60, 8 Ti 2.65-2.79
Au  0.3985  0.6345  0.3655  1 Ge 2.60, 8 Ti 2.65-2.79


Record 11
## Er2Tm5ZrSc (PBE)

Data for an optimized crystal structure of Er2Tm5ZrSc.

Properties
Formation enthalpy at 0 K = 0.15 eV/atom

Lattice parameters (Å, degrees): 5.3633 10.0222 10.2199 90.00 90.00 105.52
Closest atoms and distances in Å follow each position.
Sites, in units of the cell vectors:
Er  0.8879  0.7759  0.8143  9 Tm 3.21-3.53, 1 Sc 3.43
Er  0.1120  0.2240  0.7414  1 Sc 3.19, 6 Tm 3.33-3.53, 2 Zr 3.48
Er  0.1121  0.2241  0.3143  9 Tm 3.21-3.53, 1 Sc 3.43
Er  0.8880  0.7760  0.2414  1 Sc 3.19, 6 Tm 3.33-3.53, 2 Zr 3.48
Tm  0.3767  0.7534  0.0198  4 Er 3.41-3.52, 4 Tm 3.52-3.66, 1 Sc 3.57
Tm  0.7219  0.4438  0.8257  1 Zr 2.86
Tm  0.4815  0.9630  0.7376  2 Zr 3.05-3.22, 2 Er 3.33
Tm  0.3008  0.6015  0.7000  1 Zr 3.28, 2 Sc 3.29, 4 Tm 3.34-3.58, 3 Er 3.38-3.67
Tm  0.9805  0.9611  0.5167  2 Zr 3.08, 3 Er 3.28-3.42, 1 Sc 3.33
Tm  0.6233  0.2466  0.5198  4 Er 3.41-3.52, 4 Tm 3.52-3.66, 1 Sc 3.57
Tm  0.2781  0.5562  0.3257  1 Zr 2.86
Tm  0.5185  0.0370  0.2376  2 Zr 3.05-3.22, 2 Er 3.33
Tm  0.6992  0.3985  0.2000  1 Zr 3.28, 2 Sc 3.29, 4 Tm 3.34-3.58, 3 Er 3.38-3.67
Tm  0.0195  0.0389  0.0167  2 Zr 3.08, 3 Er 3.28-3.42, 1 Sc 3.33
Zr  0.5903  0.1806  0.9538  4 Tm 2.86-3.08
Zr  0.4097  0.8194  0.4538  4 Tm 2.86-3.08
Sc  0.8083  0.6165  0.5146  2 Er 3.19-3.43, 5 Tm 3.29-3.36, 2 Zr 3.38
Sc  0.1917  0.3835  0.0146  2 Er 3.19-3.43, 5 Tm 3.29-3.36, 2 Zr 3.38


Record 12
## Ho3MgRu (PBE)

Data for an optimized crystal structure of Ho3MgRu.

Properties
Offset from the most stable computed form = 0 kJ/mol of formula units
Formation enthalpy at 0 K = -0.13 eV/atom

Lattice parameters (Å, degrees): 3.5080 9.2123 9.2116 69.14 90.00 90.01
Closest atoms and distances in Å follow each position.
Sites, in units of the cell vectors:
Ho  0.8634  0.3659  0.8447  2 Ru 2.72
Ho  0.8634  0.0224  0.6482  2 Ru 2.72
Ho  0.8636  0.5959  0.0747  2 Ru 2.72
Ho  0.3632  0.9887  0.0408  2 Ru 2.70
Ho  0.8636  0.7924  0.4182  2 Ru 2.72
Ho  0.3633  0.3998  0.4519  2 Ru 2.70
Mg  0.3628  0.6940  0.7466  8 Ho 3.33, 2 Mg 3.51
Mg  0.8616  0.1940  0.2466  8 Ho 3.47-3.58, 2 Mg 3.51
Ru  0.3637  0.6942  0.2464  6 Ho 2.70-2.72
Ru  0.3634  0.1942  0.7464  6 Ho 2.70-2.72


| no. | ρ (Mg/m³) |
| --- | --- |
| 1 | 7.9 |
| 2 | 11.6 |
| 3 | 6.3 |
| 4 | 10.6 |
| 5 | 4.8 |
| 6 | 5.0 |
| 7 | 5.3 |
| 8 | 3.7 |
| 9 | 5.0 |
| 10 | 7.0 |
| 11 | 8.3 |
| 12 | 7.4 |